## Cd2CuAg (GGA-PBE)

Data for an optimized crystal structure of Cd2CuAg.

- Calculated total energy: -2.121 eV per atom
- Calculated volume: 73.1 Å³/f.u.
- Calculated formation energy: 0.073 eV per atom
- Crystal system: monoclinic

a b c (Å): 9.416 2.914 5.387
angles (deg): 90.00 98.71 90.00
Space group C2/m (No. 12)
One atom of each set of equivalent atoms:
Cd  0.245  0.000  0.240 x4
Cu  0.000  0.500  0.000 x2
Ag  0.000  0.000  0.500 x2